# ZnGe2Ir2

A relaxed structure of ZnGe2Ir2 (GGA-PBE, the Alexandria database).

a = 7.491 Å, b = 7.491 Å, c = 2.812 Å
α = 90.00°, β = 90.00°, γ = 90.00°
Element x y z (fractional)
1 Zn 0.000 0.000 0.000
2 Zn 0.500 0.500 0.000
3 Ir 0.144 0.644 0.500
4 Ir 0.356 0.144 0.500
5 Ir 0.644 0.856 0.500
6 Ir 0.856 0.356 0.500
7 Ge 0.151 0.349 0.000
8 Ge 0.651 0.151 0.000
9 Ge 0.349 0.849 0.000
10 Ge 0.849 0.651 0.000

Computed properties:
- Electronic total energy: -56.369 eV per cell
- Crystal system: tetragonal
- ρ: 12525 kg/m³
- Relative energy among the computed polymorphs: 0.172 eV per atom
- DOS at the Fermi energy: 0.3303 states/eV per atom